# 1
# Be2AsP

An optimized crystal structure of Be2AsP (PBE, the Alexandria database).

E above lowest polymorph	602	meV per atom
SG	Fm-3m (225)

Unit cell a=4.1807 b=4.1807 c=4.1807 alpha=60.00 beta=60.00 gamma=60.00
With the nearest neighbours (Å) after each atom.
Positions (direct):
1 Be 0.2500 0.2500 0.2500  4 P 2.56, 4 As 2.56
2 Be 0.7500 0.7500 0.7500  4 P 2.56, 4 As 2.56
3 As 0.0000 0.0000 0.0000  8 Be 2.56
4 P 0.5000 0.5000 0.5000  8 Be 2.56

# 2
# Be2AsP

An optimized crystal structure of Be2AsP (PBE, the Alexandria database).

E above lowest polymorph	462	meV per atom
SG	Cmmm (65)

Unit cell a=2.9852 b=2.9852 c=6.5436 alpha=90.00 beta=90.00 gamma=111.53
With the nearest neighbours (Å) after each atom.
Positions (direct):
1 Be 0.0000 0.0000 0.2177  2 P 2.20
2 Be 0.0000 0.0000 0.7823  2 P 2.20
3 As 0.5000 0.5000 0.5000  4 Be 2.50
4 P 0.5000 0.5000 0.0000  4 Be 2.20

Going through the records in order, we get E_tot values of -3.80, -3.94 eV per atom.
Going through the records in order, we get V values of 12.92, 13.56 Å³/atom.